[1]
{"formula": "SrIr3Cl", "functional": "PBE", "state": "optimized geometry", "lattice_angstrom": [[5.222, 0.000, 0.000], [0.000, 5.222, 0.000], [0.000, 0.000, 5.222]], "species": ["Sr", "Ir", "Ir", "Ir", "Cl"], "fractional_positions": [[0.000, 0.000, 0.000], [0.000, 0.500, 0.000], [0.000, 0.000, 0.500], [0.500, 0.000, 0.000], [0.500, 0.500, 0.500]], "dos_at_fermi_per_ev_cell": 5.54, "relative_energy_ev_per_fu": 9.29, "e_form_raw_kj_per_mol_atoms": 271.4}


[2]
{"formula": "Ta2CdRh", "functional": "PBE", "state": "optimized geometry", "lattice_angstrom": [[3.101, 0.000, 0.000], [0.000, 3.394, 0.000], [0.000, 0.000, 6.797]], "species": ["Ta", "Ta", "Cd", "Rh"], "fractional_positions": [[0.000, 0.000, 0.976], [0.500, 0.500, 0.235], [0.000, 0.000, 0.515], [0.500, 0.500, 0.774]], "dos_at_fermi_per_ev_cell": 3.65, "energy_ev_per_atom": -8.062}


[3]
{"formula": "KHg4Pb6", "functional": "PBE", "state": "optimized geometry", "lattice_angstrom": [[4.859, 0.000, 0.000], [0.000, 9.142, 0.000], [0.000, -4.571, 7.917]], "species": ["K", "Hg", "Hg", "Hg", "Hg", "Pb", "Pb", "Pb", "Pb", "Pb", "Pb"], "fractional_positions": [[0.000, 0.000, 0.000], [0.500, 0.808, 0.616], [0.500, 0.384, 0.192], [0.500, 0.808, 0.192], [0.000, 0.333, 0.667], [0.000, 0.535, 0.070], [0.500, 0.592, 0.796], [0.000, 0.535, 0.465], [0.000, 0.930, 0.465], [0.500, 0.204, 0.796], [0.500, 0.204, 0.408]], "dos_at_fermi_per_ev_cell": 6.69, "energy_ev_per_atom": -2.253}


[4]
{"formula": "PaPd7Pt4", "functional": "PBE", "state": "optimized geometry", "lattice_angstrom": [[5.038, -0.418, 2.671], [1.230, 7.174, 1.843], [2.841, 0.567, 6.957]], "species": ["Pa", "Pd", "Pd", "Pd", "Pd", "Pd", "Pd", "Pd", "Pt", "Pt", "Pt", "Pt"], "fractional_positions": [[0.000, 0.000, 0.000], [0.756, 0.999, 0.498], [0.244, 0.001, 0.502], [0.006, 0.669, 0.329], [0.994, 0.331, 0.671], [0.252, 0.668, 0.831], [0.500, 0.000, 0.000], [0.748, 0.332, 0.169], [0.504, 0.330, 0.665], [0.496, 0.670, 0.335], [0.747, 0.665, 0.838], [0.253, 0.335, 0.162]], "dos_at_fermi_per_ev_cell": 13.94, "energy_ev_per_atom": -6.222}


[5]
{"formula": "Ba2Mg4CdIn3", "functional": "PBE", "state": "optimized geometry", "lattice_angstrom": [[4.956, 0.000, 0.000], [0.000, 4.956, 0.000], [0.000, 0.000, 12.287]], "species": ["Ba", "Ba", "Mg", "Mg", "Mg", "Mg", "Cd", "In", "In", "In"], "fractional_positions": [[0.500, 0.000, 0.249], [0.000, 0.500, 0.751], [0.500, 0.500, 0.000], [0.000, 0.000, 0.000], [0.500, 0.000, 0.631], [0.000, 0.500, 0.369], [0.500, 0.500, 0.500], [0.000, 0.000, 0.500], [0.500, 0.000, 0.866], [0.000, 0.500, 0.134]], "dos_at_fermi_per_ev_cell": 9.83, "energy_ev_per_atom": -2.189}


[6]
{"formula": "La2PrAl2", "functional": "PBE", "state": "optimized geometry", "lattice_angstrom": [[-3.859, -0.212, -0.456], [-0.746, 0.055, 6.287], [1.731, 6.233, -0.944]], "species": ["La", "La", "Pr", "Al", "Al"], "fractional_positions": [[0.369, 0.428, 0.739], [0.631, 0.572, 0.261], [0.000, 0.000, 0.000], [0.710, 0.108, 0.420], [0.290, 0.892, 0.580]], "dos_at_fermi_per_ev_cell": 6.61, "relative_energy_ev_per_fu": 0.57}


[7]
{"formula": "ZnMoW2", "functional": "PBE", "state": "optimized geometry", "lattice_angstrom": [[-2.681, 2.086, 2.961], [-1.000, -2.381, 0.772], [3.352, -1.176, 3.863]], "species": ["Mo", "W", "W", "Zn"], "fractional_positions": [[0.500, 0.750, 0.750], [0.000, 0.003, 0.998], [0.000, 0.497, 0.502], [0.500, 0.250, 0.250]], "dos_at_fermi_per_ev_cell": 1.91, "energy_ev_per_atom": -9.309}


[8]
{"formula": "Co3Te", "functional": "PBE", "state": "optimized geometry", "lattice_angstrom": [[-3.567, 2.955, 0.942], [-0.853, -2.315, 4.032], [2.982, 2.873, 2.280]], "species": ["Co", "Co", "Co", "Co", "Co", "Co", "Te", "Te"], "fractional_positions": [[0.750, 0.500, 0.000], [0.250, 0.500, 0.000], [0.000, 0.750, 0.500], [0.000, 0.250, 0.500], [0.500, 0.000, 0.250], [0.500, 0.000, 0.750], [0.000, 0.000, 0.000], [0.500, 0.500, 0.500]], "dos_at_fermi_per_ev_cell": 13.25, "e_form_raw_kj_per_mol_atoms": 30.2}


[9]
{"formula": "AcLa5Dy2Tm", "functional": "PBE", "state": "optimized geometry", "lattice_angstrom": [[9.534, 0.000, 0.000], [0.000, 9.534, 0.000], [-4.767, -4.767, 7.330]], "species": ["Ac", "Ac", "La", "La", "La", "La", "La", "La", "La", "La", "La", "La", "Dy", "Dy", "Dy", "Dy", "Tm", "Tm"], "fractional_positions": [[0.250, 0.250, 0.500], [0.750, 0.750, 0.500], [0.930, 0.430, 0.258], [0.672, 0.172, 0.742], [0.070, 0.570, 0.742], [0.172, 0.070, 0.742], [0.570, 0.672, 0.742], [0.828, 0.930, 0.258], [0.430, 0.328, 0.258], [0.328, 0.828, 0.258], [0.500, 0.500, 0.000], [0.000, 0.000, 0.000], [0.109, 0.391, 0.000], [0.609, 0.109, 0.000], [0.391, 0.891, 0.000], [0.891, 0.609, 0.000], [0.250, 0.750, 0.500], [0.750, 0.250, 0.500]], "dos_at_fermi_per_ev_cell": 30.35, "energy_ev_per_atom": -4.443}


[10]
{"formula": "HoTmBiSb", "functional": "PBE", "state": "optimized geometry", "lattice_angstrom": [[4.398, 0.000, 0.000], [0.000, 4.391, 0.261], [0.000, -0.372, 6.207]], "species": ["Ho", "Tm", "Bi", "Sb"], "fractional_positions": [[0.000, 0.892, 0.592], [0.500, 0.391, 0.093], [0.500, 0.392, 0.593], [0.000, 0.891, 0.092]], "dos_at_fermi_per_ev_cell": 0.57, "e_form_raw_kj_per_mol_atoms": -91.1}


[11]
{"formula": "Pa2Nb2N7", "functional": "PBE", "state": "optimized geometry", "lattice_angstrom": [[-0.441, 0.439, 5.111], [-5.198, -0.415, -0.413], [0.627, -5.169, 0.498]], "species": ["Pa", "Pa", "Nb", "Nb", "N", "N", "N", "N", "N", "N", "N"], "fractional_positions": [[0.500, 0.747, 0.747], [0.500, 0.253, 0.253], [0.000, 0.724, 0.276], [0.000, 0.276, 0.724], [0.749, 0.000, 0.500], [0.251, 0.500, 0.000], [0.251, 0.000, 0.500], [0.749, 0.500, 0.000], [0.000, 0.000, 0.000], [0.245, 0.500, 0.500], [0.755, 0.500, 0.500]], "dos_at_fermi_per_ev_cell": 6.50, "e_form_raw_kj_per_mol_atoms": -88.1}


[12]
{"formula": "Ho3HgPt", "functional": "PBE", "state": "optimized geometry", "lattice_angstrom": [[4.690, -0.001, 0.000], [0.002, 6.816, 0.000], [0.000, 0.000, 8.406]], "species": ["Ho", "Ho", "Ho", "Ho", "Ho", "Ho", "Hg", "Hg", "Pt", "Pt"], "fractional_positions": [[0.750, 0.750, 0.055], [0.250, 0.250, 0.945], [0.750, 0.999, 0.662], [0.750, 0.501, 0.662], [0.250, 0.001, 0.338], [0.250, 0.499, 0.338], [0.750, 0.250, 0.175], [0.250, 0.750, 0.825], [0.750, 0.750, 0.391], [0.250, 0.250, 0.609]], "dos_at_fermi_per_ev_cell": 10.45, "energy_ev_per_atom": -4.707}